# 1
First-principles (GGA-PBE) data for a relaxed structure of Li2Cd7Ga2, as listed in Alexandria via LeMat-Bulk.

```
11
Lattice="-4.672 2.544 0.317 -4.401 -2.564 -4.991 -3.975 -3.037 5.081" Properties=species:S:1:pos:R:3 pbc="T T T"
Li -4.060 -2.943 3.069
Li -4.316 -2.659 -2.979
Cd -5.758 -0.268 2.823
Cd -7.071 -3.032 2.749
Cd -7.289 -2.789 -2.416
Cd -5.976 -0.026 -2.341
Cd -2.336 1.272 0.158
Cd -6.491 -3.996 0.086
Cd -6.557 0.938 0.321
Ga -4.877 -1.492 0.136
Ga -8.170 -1.566 0.272
```

Symmetry: C2/m
Formation enthalpy at 0 K in eV per atom: -0.0553



# 2
First-principles (GGA-PBE) data for a relaxed structure of LiBe2Co2, as listed in Alexandria via LeMat-Bulk.

```
10
Lattice="-3.799 1.597 -5.159 0.825 -6.062 -2.484 -1.903 -0.739 1.172" Properties=species:S:1:pos:R:3 pbc="T T T"
Be -1.032 -4.141 -1.923
Be -2.792 -4.363 -4.921
Be -3.845 -1.063 -4.547
Be -2.084 -0.841 -1.550
Co -0.689 -4.685 -4.073
Co -2.787 -2.426 -6.054
Co -2.285 0.220 -3.570
Co -0.187 -2.038 -1.589
Li 0.000 0.000 0.000
Li -1.487 -2.232 -3.821
```

Symmetry: P4/mbm
Formation enthalpy at 0 K in eV per atom: -0.0341
Energy above the lowest structure with this stoichiometry in meV per atom: 32



Calculated total energy (eV per atom), listed in the same order as above: -1.54; -4.75